VASP calculation (PBE) on a geometry-optimized YThTe3 structure.

Results
- Offset from the most stable computed form: 0.0 meV/atom
- Total magnetization: 0.0 μB per cell
- Energy relative to the elements, uncorrected: -1312 meV per atom

Lattice parameters (Å, degrees): 8.227 8.227 9.740 94.51 94.51 30.37
Element x y z (fractional)
Y 0.183 0.183 0.133
Y 0.817 0.817 0.867
Th 0.391 0.391 0.418
Th 0.609 0.609 0.582
Te 0.037 0.037 0.337
Te 0.256 0.256 0.656
Te 0.372 0.372 0.077
Te 0.628 0.628 0.923
Te 0.744 0.744 0.344
Te 0.963 0.963 0.663